# Co3CuF, optimized geometry, DFT PBE+U
data_Co3CuF
_chemical_formula_sum 'Co3 Cu1 F1'
_space_group_name_H-M_alt 'P 1'
_space_group_IT_number 1
_cell_length_a 4.520
_cell_length_b 4.520
_cell_length_c 4.520
_cell_angle_alpha 90.00
_cell_angle_beta 90.00
_cell_angle_gamma 90.00
loop_
_space_group_symop_operation_xyz
'x,y,z'
loop_
_atom_site_label
_atom_site_fract_x
_atom_site_fract_y
_atom_site_fract_z
_atom_site_occupancy
F1 0.500 0.500 0.500 1
Co1 0.000 0.000 0.500 1
Co2 0.000 0.500 0.000 1
Cu1 0.000 0.000 0.000 1
Co3 0.500 0.000 0.000 1
# D(E_F) (states/eV per atom): 0.35
# Excess energy over the best structure of this formula in the dataset (eV/atom): 0.5241
# V (Å³ per cell): 92.4